A relaxed structure of ZrZnPd. Source: Alexandria, functional PBE.

Lattice parameters (Å, degrees): 4.385 5.329 5.038 90.01 115.80 90.00
Positions (direct):
1 Pd 0.916 0.856 0.418
2 Zn 0.307 0.606 0.201
3 Zn 0.307 0.106 0.200
4 Zr 0.606 0.856 0.799
5 Pd 0.698 0.356 0.983
6 Zr 0.008 0.356 0.602

## Properties
Raw total energy   -16.7 eV per formula unit
Space group   Cmcm (63)
Formation energy   -563 meV/atom

---

A relaxed structure of ZrZn5Pd6. Source: Alexandria, functional PBE.

Lattice parameters (Å, degrees): 4.110 7.232 6.468 90.00 108.53 90.00
Positions (direct):
1 Pd 0.832 0.257 0.663
2 Zn 0.327 0.000 0.654
3 Pd 0.500 0.743 0.000
4 Zn 0.664 0.500 0.328
5 Zn 0.000 0.500 0.000
6 Pd 0.168 0.743 0.337
7 Zr 0.000 0.000 0.000
8 Zn 0.673 0.000 0.346
9 Pd 0.500 0.257 0.000
10 Zn 0.336 0.500 0.672
11 Pd 0.168 0.257 0.337
12 Pd 0.832 0.743 0.663

## Properties
Raw total energy   -52.9 eV per formula unit
Space group   Cmmm (65)
Formation energy   -570 meV/atom

---

A relaxed structure of Zr2Zn3Pd4. Source: Alexandria, functional PBE.

Lattice parameters (Å, degrees): 4.085 4.851 8.544 74.44 89.98 65.07
Positions (direct):
1 Zr 0.319 0.361 0.775
2 Zr 0.681 0.639 0.225
3 Zn 0.000 0.000 0.000
4 Pd 0.658 0.686 0.890
5 Zn 0.650 0.700 0.559
6 Zn 0.350 0.300 0.441
7 Pd 0.022 0.956 0.339
8 Pd 0.342 0.314 0.110
9 Pd 0.978 0.044 0.661

## Properties
Raw total energy   -47.0 eV per formula unit
Space group   C2/m (12)
ΔE to the lowest computed polymorph   0 kJ/mol of formula units
Formation energy   -590 meV/atom

---

A relaxed structure of Zr3Zn9Pd2. Source: Alexandria, functional PBE.

Lattice parameters (Å, degrees): 4.257 7.759 7.759 73.53 74.08 74.08
Positions (direct):
1 Zr 0.000 0.000 0.000
2 Zn 0.000 0.500 0.500
3 Zn 0.142 0.135 0.582
4 Zr 0.290 0.710 0.710
5 Zn 0.354 0.016 0.277
6 Zn 0.354 0.277 0.016
7 Zn 0.858 0.865 0.418
8 Zn 0.646 0.984 0.723
9 Zn 0.858 0.418 0.865
10 Pd 0.500 0.660 0.340
11 Pd 0.500 0.340 0.660
12 Zn 0.142 0.582 0.135
13 Zr 0.710 0.290 0.290
14 Zn 0.646 0.723 0.984

## Properties
Raw total energy   -52.2 eV per formula unit
Space group   Immm (71)
Formation energy   -334 meV/atom

---

A relaxed structure of Zr2Zn3Pd3. Source: Alexandria, functional PBE.

Lattice parameters (Å, degrees): 2.842 7.578 7.578 120.00 90.00 90.00
Positions (direct):
1 Zr 0.000 0.667 0.333
2 Pd 0.500 0.667 0.667
3 Zn 0.000 0.229 0.229
4 Zr 0.000 0.333 0.667
5 Pd 0.500 0.000 0.333
6 Zn 0.000 0.000 0.771
7 Zn 0.000 0.771 0.000
8 Pd 0.500 0.333 0.000

## Properties
Raw total energy   -39.4 eV per formula unit
Space group   P-62m (189)
Formation energy   -364 meV/atom

---

A relaxed structure of ZrZn2Pd2. Source: Alexandria, functional PBE.

Lattice parameters (Å, degrees): 3.610 3.610 7.062 75.19 75.19 90.00
Positions (direct):
1 Zr 0.000 0.000 0.000
2 Zn 0.750 0.250 0.500
3 Pd 0.398 0.398 0.204
4 Zn 0.250 0.750 0.500
5 Pd 0.602 0.602 0.796

## Properties
Raw total energy   -23.7 eV per formula unit
Space group   I4/mmm (139)
ΔE to the lowest computed polymorph   40 kJ/mol of formula units
Formation energy   -441 meV/atom

---

A relaxed structure of Zr2ZnPd2. Source: Alexandria, functional PBE.

Lattice parameters (Å, degrees): 4.378 5.531 7.740 90.00 106.43 90.00
Positions (direct):
1 Pd 0.171 0.371 0.342
2 Zn 0.405 0.059 0.810
3 Zr 0.219 0.856 0.439
4 Pd 0.829 0.871 0.658
5 Zr 0.781 0.356 0.561
6 Zn 0.595 0.559 0.190
7 Zr 0.992 0.298 0.984
8 Zr 0.008 0.798 0.016
9 Pd 0.608 0.051 0.216
10 Pd 0.392 0.551 0.784

## Properties
Raw total energy   -31.4 eV per formula unit
Space group   Cmc2_1 (36)
Formation energy   -529 meV/atom

---

A relaxed structure of ZrZn2Pd3. Source: Alexandria, functional PBE.

Lattice parameters (Å, degrees): 3.027 3.027 10.337 90.00 90.00 90.00
Positions (direct):
1 Zn 0.500 0.500 0.846
2 Pd 0.000 0.000 0.307
3 Pd 0.000 0.000 0.693
4 Pd 0.000 0.000 0.000
5 Zn 0.500 0.500 0.154
6 Zr 0.500 0.500 0.500

## Properties
Raw total energy   -30.1 eV per formula unit
Space group   P4/mmm (123)
Formation energy   -578 meV/atom

---

A relaxed structure of ZrZnPd14. Source: Alexandria, functional PBE.

Lattice parameters (Å, degrees): 5.643 5.643 7.833 90.00 90.00 90.01
Positions (direct):
1 Pd 0.875 0.875 0.000
2 Pd 0.624 0.126 0.253
3 Zn 0.375 0.375 0.500
4 Zr 0.875 0.875 0.500
5 Pd 0.375 0.875 0.000
6 Pd 0.624 0.624 0.253
7 Pd 0.875 0.375 0.500
8 Pd 0.126 0.126 0.253
9 Pd 0.624 0.126 0.747
10 Pd 0.126 0.624 0.253
11 Pd 0.126 0.624 0.747
12 Pd 0.624 0.624 0.747
13 Pd 0.375 0.875 0.500
14 Pd 0.875 0.375 0.000
15 Pd 0.375 0.375 0.000
16 Pd 0.126 0.126 0.747

## Properties
Raw total energy   -87.0 eV per formula unit
Space group   P4/mmm (123)
Formation energy   -281 meV/atom

---

A relaxed structure of ZrZn9Pd2. Source: Alexandria, functional PBE.

Lattice parameters (Å, degrees): 5.066 5.066 8.720 73.11 73.11 60.00
Positions (direct):
1 Pd 0.863 0.863 0.411
2 Zn 0.334 0.334 0.000
3 Zn 0.666 0.666 0.000
4 Zn 0.591 0.081 0.738
5 Zn 0.919 0.409 0.262
6 Pd 0.137 0.137 0.589
7 Zn 0.081 0.591 0.738
8 Zn 0.591 0.591 0.738
9 Zn 0.500 0.500 0.500
10 Zn 0.409 0.409 0.262
11 Zr 0.000 0.000 0.000
12 Zn 0.409 0.919 0.262

## Properties
Raw total energy   -32.7 eV per formula unit
Space group   R-3m (166)
Formation energy   -192 meV/atom

---

A relaxed structure of ZrZnPd5. Source: Alexandria, functional PBE.

Lattice parameters (Å, degrees): 4.098 4.098 6.930 90.00 90.00 90.00
Positions (direct):
1 Pd 0.500 0.000 0.780
2 Pd 0.500 0.000 0.220
3 Pd 0.000 0.500 0.220
4 Pd 0.500 0.500 0.500
5 Zn 0.500 0.500 0.000
6 Zr 0.000 0.000 0.500
7 Pd 0.000 0.500 0.780

## Properties
Raw total energy   -39.8 eV per formula unit
Space group   P4/mmm (123)
Formation energy   -569 meV/atom

---

A relaxed structure of Zr3Zn4Pd4. Source: Alexandria, functional PBE.

Lattice parameters (Å, degrees): 4.630 6.042 9.041 109.52 124.22 90.00
Positions (direct):
1 Zn 0.338 0.109 0.653
2 Zr 0.000 0.500 0.000
3 Pd 0.500 0.760 0.000
4 Zr 0.894 0.862 0.723
5 Zr 0.106 0.138 0.277
6 Pd 0.500 0.240 0.000
7 Pd 0.824 0.315 0.631
8 Zn 0.662 0.891 0.347
9 Zn 0.662 0.456 0.347
10 Pd 0.176 0.685 0.369
11 Zn 0.338 0.544 0.653

## Properties
Raw total energy   -56.7 eV per formula unit
Space group   C2/m (12)
ΔE to the lowest computed polymorph   33 kJ/mol of formula units
Formation energy   -475 meV/atom